Record 1
A plane-wave DFT calculation with GGA-PBEsol was carried out for an optimized crystal structure of Li2NiW.

Theoretical density ... 8.044 g/cm³
Formation energy ... 0.334 eV/atom

a b c (Å): 2.5272 4.4725 5.3175
angles (deg): 114.00 102.32 93.32
Closest atoms and distances in Å follow each position.
Sites, in units of the cell vectors:
W (0.0000, 0.5000, 0.0000)  4 Ni 2.50-2.63, 2 W 2.53, 4 Li 2.69
Li (0.5000, 0.5000, 0.5000)  6 Li 2.50-2.63, 2 W 2.69, 2 Ni 2.69
Li (0.0000, 0.0000, 0.5000)  6 Li 2.50-2.63, 2 Ni 2.69, 2 W 2.69
Ni (0.5000, 0.0000, 0.0000)  4 W 2.50-2.63, 2 Ni 2.53, 4 Li 2.69

***

Record 2
A plane-wave DFT calculation with GGA-PBEsol was carried out for an optimized crystal structure of LiYNi4.

Theoretical density ... 6.931 g/cm³
Formation energy ... -0.322 eV/atom

a b c (Å): 4.8206 4.8206 4.8206
angles (deg): 60.00 60.00 60.00
Closest atoms and distances in Å follow each position.
Sites, in units of the cell vectors:
Ni (0.3743, 0.3743, 0.8771)  6 Ni 2.40-2.42
Ni (0.8771, 0.3743, 0.3743)  6 Ni 2.40-2.42
Ni (0.3743, 0.8771, 0.3743)  6 Ni 2.40-2.42
Ni (0.3743, 0.3743, 0.3743)  6 Ni 2.40-2.42
Li (0.0000, 0.0000, 0.0000)  12 Ni 2.82, 4 Y 2.95
Y (0.7500, 0.7500, 0.7500)  12 Ni 2.83, 4 Li 2.95

***

Record 3
A plane-wave DFT calculation with GGA-PBEsol was carried out for an optimized crystal structure of LiY2Ni.

Theoretical density ... 4.615 g/cm³
Formation energy ... -0.147 eV/atom

a b c (Å): 3.3914 3.3914 7.6164
angles (deg): 90.00 90.00 90.00
Closest atoms and distances in Å follow each position.
Sites, in units of the cell vectors:
Ni (0.5000, 0.5000, 0.0000)  8 Y 2.87
Y (0.0000, 0.0000, 0.2078)  4 Ni 2.87, 1 Y 3.17
Y (0.0000, 0.0000, 0.7922)  4 Ni 2.87, 1 Y 3.17
Li (0.5000, 0.5000, 0.5000)  8 Y 3.27, 4 Li 3.39

***

Record 4
A plane-wave DFT calculation with GGA-PBEsol was carried out for an optimized crystal structure of LiY2Ni.

Theoretical density ... 4.910 g/cm³
Formation energy ... 0.086 eV/atom

a b c (Å): 4.0071 4.0071 5.8586
angles (deg): 110.00 110.00 90.00
Closest atoms and distances in Å follow each position.
Sites, in units of the cell vectors:
Y (0.7500, 0.2500, 0.5000)  4 Ni 2.83
Y (0.0000, 0.0000, 0.0000)  4 Li 2.83
Ni (0.2500, 0.7500, 0.5000)  4 Y 2.83
Li (0.5000, 0.5000, 0.0000)  4 Y 2.83

***

Record 5
A plane-wave DFT calculation with GGA-PBEsol was carried out for an optimized crystal structure of LiZnNi2.

Theoretical density ... 7.123 g/cm³
Formation energy ... -0.107 eV/atom

a b c (Å): 2.6932 4.0039 4.1020
angles (deg): 90.00 90.00 90.00
Closest atoms and distances in Å follow each position.
Sites, in units of the cell vectors:
Ni (0.5000, 0.0000, 0.5000)  4 Li 2.41, 6 Ni 2.45-2.69
Ni (0.0000, 0.0000, 0.0000)  4 Zn 2.41, 6 Ni 2.45-2.69
Zn (0.5000, 0.5000, 0.0000)  4 Ni 2.41, 4 Li 2.45, 2 Zn 2.69
Li (0.0000, 0.5000, 0.5000)  4 Ni 2.41, 4 Zn 2.45, 2 Li 2.69

***

Record 6
A plane-wave DFT calculation with GGA-PBEsol was carried out for an optimized crystal structure of Li2ZnNi2.

Theoretical density ... 4.749 g/cm³
Formation energy ... 0.252 eV/atom

a b c (Å): 3.2028 3.2028 7.0761
angles (deg): 103.08 103.08 90.00
Closest atoms and distances in Å follow each position.
Sites, in units of the cell vectors:
Ni (0.7500, 0.2500, 0.5000)  4 Ni 2.26, 4 Li 2.51
Ni (0.2500, 0.7500, 0.5000)  4 Ni 2.26, 4 Li 2.51
Zn (0.0000, 0.0000, 0.0000)  8 Li 2.67
Li (0.6056, 0.6056, 0.2111)  4 Ni 2.51, 4 Zn 2.67
Li (0.3944, 0.3944, 0.7889)  4 Ni 2.51, 4 Zn 2.67

***

Record 7
A plane-wave DFT calculation with GGA-PBEsol was carried out for an optimized crystal structure of LiZnNi2.

Theoretical density ... 6.890 g/cm³
Formation energy ... -0.049 eV/atom

a b c (Å): 2.5696 2.5696 6.9259
angles (deg): 90.00 90.00 90.00
Closest atoms and distances in Å follow each position.
Sites, in units of the cell vectors:
Ni (0.0000, 0.0000, 0.7580)  4 Zn 2.47, 4 Li 2.55, 4 Ni 2.57
Ni (0.0000, 0.0000, 0.2420)  4 Zn 2.47, 4 Li 2.55, 4 Ni 2.57
Li (0.5000, 0.5000, 0.5000)  8 Ni 2.55, 4 Li 2.57
Zn (0.5000, 0.5000, 0.0000)  8 Ni 2.47, 4 Zn 2.57

***

Record 8
A plane-wave DFT calculation with GGA-PBEsol was carried out for an optimized crystal structure of LiZnNi2.

Theoretical density ... 7.112 g/cm³
Formation energy ... -0.089 eV/atom

a b c (Å): 2.4491 3.9920 4.5698
angles (deg): 90.00 97.45 90.00
Closest atoms and distances in Å follow each position.
Sites, in units of the cell vectors:
Ni (0.7775, 0.0000, 0.7455)  2 Li 2.39, 5 Ni 2.44-2.62, 2 Zn 2.45
Ni (0.2225, 0.0000, 0.2545)  2 Li 2.39, 5 Ni 2.44-2.62, 2 Zn 2.45
Li (0.0000, 0.5000, 0.5000)  4 Ni 2.39, 2 Zn 2.45, 2 Li 2.45
Zn (0.5000, 0.5000, 0.0000)  4 Li 2.45-2.73, 2 Zn 2.45, 4 Ni 2.45

***

Record 9
A plane-wave DFT calculation with GGA-PBEsol was carried out for an optimized crystal structure of LiZn2Ni.

Theoretical density ... 6.793 g/cm³
Formation energy ... -0.216 eV/atom

a b c (Å): 2.9005 4.0692 4.0689
angles (deg): 90.00 90.00 90.00
Closest atoms and distances in Å follow each position.
Sites, in units of the cell vectors:
Li (0.5000, 0.0000, 0.6252)  8 Zn 2.50
Zn (0.0000, 0.5000, 0.6248)  4 Ni 2.50, 4 Li 2.50
Zn (0.0000, 0.0000, 0.1252)  4 Li 2.50, 4 Ni 2.50
Ni (0.5000, 0.5000, 0.1248)  8 Zn 2.50

***

Record 10
A plane-wave DFT calculation with GGA-PBEsol was carried out for an optimized crystal structure of LiZnNi.

Theoretical density ... 5.587 g/cm³
Formation energy ... 0.373 eV/atom

a b c (Å): 3.8049 3.8049 3.8049
angles (deg): 60.00 60.00 60.00
Closest atoms and distances in Å follow each position.
Sites, in units of the cell vectors:
Zn (0.5000, 0.5000, 0.5000)  4 Li 2.33
Li (0.2500, 0.2500, 0.2500)  4 Zn 2.33, 4 Ni 2.33
Ni (0.0000, 0.0000, 0.0000)  4 Li 2.33

***

Record 11
A plane-wave DFT calculation with GGA-PBEsol was carried out for an optimized crystal structure of LiZnNi6.

Theoretical density ... 8.285 g/cm³
Formation energy ... -0.028 eV/atom

a b c (Å): 6.0475 6.0475 9.8719
angles (deg): 90.00 90.00 109.50
Closest atoms and distances in Å follow each position.
Sites, in units of the cell vectors:
Ni (0.6242, 0.8741, 0.6263)  1 Li 2.46, 3 Zn 2.47-2.48, 8 Ni 2.47-2.49
Ni (0.6228, 0.8735, 0.1236)  8 Ni 2.44-2.48, 3 Li 2.45-2.47, 1 Zn 2.48
Ni (0.1259, 0.3758, 0.3737)  1 Li 2.46, 3 Zn 2.47-2.48, 8 Ni 2.47-2.49
Ni (0.3772, 0.1265, 0.8764)  8 Ni 2.44-2.48, 3 Li 2.45-2.47, 1 Zn 2.48
Ni (0.1259, 0.3758, 0.6263)  1 Li 2.46, 3 Zn 2.47-2.48, 8 Ni 2.47-2.49
Ni (0.2502, 0.7498, 0.7522)  2 Li 2.45-2.47, 8 Ni 2.45-2.48, 2 Zn 2.47-2.49
Ni (0.5000, 0.5000, 0.5000)  2 Zn 2.46, 8 Ni 2.47, 2 Li 2.48
Ni (0.8735, 0.6228, 0.8764)  8 Ni 2.44-2.48, 3 Li 2.45-2.47, 1 Zn 2.48
Ni (0.6228, 0.8735, 0.8764)  8 Ni 2.44-2.48, 3 Li 2.45-2.47, 1 Zn 2.48
Ni (0.3758, 0.1259, 0.6263)  1 Li 2.46, 3 Zn 2.47-2.48, 8 Ni 2.47-2.49
Ni (0.3772, 0.1265, 0.1236)  8 Ni 2.44-2.48, 3 Li 2.45-2.47, 1 Zn 2.48
Ni (0.5000, 0.5000, 0.0000)  8 Ni 2.45, 4 Li 2.46-2.48
Ni (0.0000, 0.0000, 0.5000)  4 Zn 2.48, 8 Ni 2.48
Ni (0.8735, 0.6228, 0.1236)  8 Ni 2.44-2.48, 3 Li 2.45-2.47, 1 Zn 2.48
Ni (0.2502, 0.7498, 0.2478)  2 Li 2.45-2.47, 8 Ni 2.45-2.48, 2 Zn 2.47-2.49
Ni (0.1265, 0.3772, 0.8764)  8 Ni 2.44-2.48, 3 Li 2.45-2.47, 1 Zn 2.48
Ni (0.1265, 0.3772, 0.1236)  8 Ni 2.44-2.48, 3 Li 2.45-2.47, 1 Zn 2.48
Ni (0.7498, 0.2502, 0.2478)  2 Li 2.45-2.47, 8 Ni 2.45-2.48, 2 Zn 2.47-2.49
Ni (0.7498, 0.2502, 0.7522)  2 Li 2.45-2.47, 8 Ni 2.45-2.48, 2 Zn 2.47-2.49
Ni (0.6242, 0.8741, 0.3737)  1 Li 2.46, 3 Zn 2.47-2.48, 8 Ni 2.47-2.49
Ni (0.8741, 0.6242, 0.3737)  1 Li 2.46, 3 Zn 2.47-2.48, 8 Ni 2.47-2.49
Ni (0.3758, 0.1259, 0.3737)  1 Li 2.46, 3 Zn 2.47-2.48, 8 Ni 2.47-2.49
Ni (0.0000, 0.0000, 0.0000)  2 Zn 2.45, 2 Li 2.46, 8 Ni 2.47
Ni (0.8741, 0.6242, 0.6263)  1 Li 2.46, 3 Zn 2.47-2.48, 8 Ni 2.47-2.49
Li (0.5000, 0.5000, 0.2492)  12 Ni 2.46-2.48
Li (0.2492, 0.7508, 0.0000)  12 Ni 2.45-2.48
Li (0.5000, 0.5000, 0.7508)  12 Ni 2.46-2.48
Li (0.7508, 0.2492, 0.0000)  12 Ni 2.45-2.48
Zn (0.0000, 0.0000, 0.2484)  12 Ni 2.45-2.48
Zn (0.0000, 0.0000, 0.7516)  12 Ni 2.45-2.48
Zn (0.2509, 0.7491, 0.5000)  12 Ni 2.46-2.49
Zn (0.7491, 0.2509, 0.5000)  12 Ni 2.46-2.49

***

Record 12
A plane-wave DFT calculation with GGA-PBEsol was carried out for an optimized crystal structure of LiZnNi2.

Theoretical density ... 6.711 g/cm³
Formation energy ... -0.055 eV/atom

a b c (Å): 2.5328 2.5328 7.3181
angles (deg): 90.00 90.00 90.00
Closest atoms and distances in Å follow each position.
Sites, in units of the cell vectors:
Li (0.5000, 0.5000, 0.7672)  4 Li 2.53, 4 Ni 2.56, 4 Zn 2.78
Zn (0.0000, 0.0000, 0.4771)  4 Ni 2.50, 4 Zn 2.53, 4 Li 2.78
Ni (0.0000, 0.0000, 0.0176)  8 Ni 2.41-2.53, 4 Li 2.56
Ni (0.5000, 0.5000, 0.2380)  8 Ni 2.41-2.53, 4 Zn 2.50